# 1
ZrTa7: relaxed, PBE.

Values from the calculation:
As for the calculated formation energy: 263 meV per atom.

a = 8.5004 Å, b = 8.5004 Å, c = 8.5004 Å
α = 90.00°, β = 90.00°, γ = 90.00°
Last column: nearest neighbours and their distance in Å.
Space group Fm-3m (No. 225)
One atom of each set of equivalent atoms:
Zr 0.0000 0.0000 0.0000 (multiplicity 4)  12 Ta 3.01
Ta 0.0000 0.0000 0.5000 (multiplicity 4)  12 Ta 3.01
Ta 0.0000 0.2500 0.2500 (multiplicity 24)  2 Zr 3.01, 10 Ta 3.01

***

# 2
CdOs: relaxed, PBE.

Values from the calculation:
As for the calculated formation energy: 614 meV per atom.

a = 4.8447 Å, b = 9.3401 Å, c = 5.3913 Å
α = 90.00°, β = 90.00°, γ = 90.00°
Last column: nearest neighbours and their distance in Å.
Space group Amm2 (No. 38)
One atom of each set of equivalent atoms:
Cd 0.0000 0.0000 0.0000 (multiplicity 2)  6 Os 2.69-2.71
Cd 0.5000 0.1666 0.4578 (multiplicity 4)  6 Os 2.86-2.90, 3 Cd 3.11
Os 0.0000 0.0000 0.5004 (multiplicity 2)  4 Os 2.55-2.84, 2 Cd 2.69-2.70
Os 0.0000 0.2407 0.7250 (multiplicity 4)  4 Os 2.55-2.84, 2 Cd 2.69-2.71

***

# 3
AcHoIrPt: relaxed, PBE.

Values from the calculation:
As for the calculated formation energy: -811 meV per atom.

a = 7.2045 Å, b = 7.2045 Å, c = 7.2045 Å
α = 90.00°, β = 90.00°, γ = 90.00°
Last column: nearest neighbours and their distance in Å.
Space group F-43m (No. 216)
One atom of each set of equivalent atoms:
Ac 0.0000 0.0000 0.0000 (multiplicity 4)  4 Ir 3.12, 4 Pt 3.12
Ho 0.0000 0.0000 0.5000 (multiplicity 4)  4 Pt 3.12, 4 Ir 3.12
Ir 0.2500 0.2500 0.2500 (multiplicity 4)  4 Ho 3.12, 4 Ac 3.12
Pt 0.2500 0.2500 0.7500 (multiplicity 4)  4 Ac 3.12, 4 Ho 3.12

***

# 4
Al3ZnNi4: relaxed, PBE.

Values from the calculation:
As for the calculated formation energy: -554 meV per atom.

a = 2.8681 Å, b = 2.8681 Å, c = 11.7729 Å
α = 90.00°, β = 90.00°, γ = 90.00°
Last column: nearest neighbours and their distance in Å.
Space group P4/mmm (No. 123)
One atom of each set of equivalent atoms:
Al 0.0000 0.0000 0.0000 (multiplicity 1)  8 Ni 2.50
Al 0.0000 0.0000 0.2491 (multiplicity 2)  8 Ni 2.48-2.50
Zn 0.0000 0.0000 0.5000 (multiplicity 1)  8 Ni 2.54
Ni 0.5000 0.5000 0.1242 (multiplicity 2)  8 Al 2.50
Ni 0.5000 0.5000 0.3699 (multiplicity 2)  4 Al 2.48, 4 Zn 2.54

***

# 5
CdAs2Se: relaxed, PBE.

Values from the calculation:
As for the formation energy from raw total energies: 0.299 eV/atom.

a = 3.4761 Å, b = 4.5250 Å, c = 5.3741 Å
α = 90.00°, β = 90.00°, γ = 90.00°
Last column: nearest neighbours and their distance in Å.
Space group Pmmm (No. 47)
One atom of each set of equivalent atoms:
Cd 0.0000 0.0000 0.0000 (multiplicity 1)  4 As 2.85
As 0.0000 0.5000 0.5000 (multiplicity 1)  4 Se 2.85
As 0.5000 0.5000 0.0000 (multiplicity 1)  4 Cd 2.85
Se 0.5000 0.0000 0.5000 (multiplicity 1)  4 As 2.85

***

# 6
Dy2CoRu3: relaxed, PBE.

Values from the calculation:
As for the calculated formation energy: -292 meV per atom.

a = 5.2784 Å, b = 5.2784 Å, c = 12.8676 Å
α = 90.00°, β = 90.00°, γ = 120.00°
Last column: nearest neighbours and their distance in Å.
Space group R-3m (No. 166, hexagonal axes)
One atom of each set of equivalent atoms:
Dy 0.0000 0.0000 0.1244 (multiplicity 6)  9 Ru 3.09, 3 Co 3.10, 4 Dy 3.20-3.24
Co 0.0000 0.0000 0.5000 (multiplicity 3)  6 Ru 2.63
Ru 0.0000 0.5000 0.0000 (multiplicity 9)  2 Co 2.63, 4 Ru 2.64

***

D(E_F) / states/eV per cell: 43.562 7.129 5.216 4.811 1.807 17.685
Raw total energy / Ha/atom: -0.4107 -0.2006 -0.2465 -0.1840 -0.1149 -0.2811
Magnetization / μB/atom: 0.0000 0.0000 0.0000 0.0000 0.0000 0.1170